# 1
Below is a relaxed structure of MnP3, with properties calculated at the PBE level.

a = 4.1401 Å, b = 4.1401 Å, c = 4.6250 Å
α = 85.43°, β = 85.43°, γ = 45.21°
Element x y z (fractional)
Mn1 0.0000 0.0000 0.0000
P1 0.5000 0.5000 0.5000
P2 0.2836 0.2836 0.1858
P3 0.7164 0.7164 0.8142

Output
Its space group is C2/m, No. 12. For the formation energy, the calculation gives 0.226 eV per atom. As for the total energy: -6.124 eV/atom. Its crystal system is monoclinic.

---

# 2
Below is a relaxed structure of SmTmTlCu, with properties calculated at the PBE level.

a = 5.1996 Å, b = 5.1996 Å, c = 5.1996 Å
α = 60.00°, β = 60.00°, γ = 60.00°
Element x y z (fractional)
Tl1 0.7500 0.7500 0.7500
Tm1 0.5000 0.5000 0.5000
Cu1 0.2500 0.2500 0.2500
Sm1 0.0000 0.0000 0.0000

Output
Its space group is F-43m, No. 216. For the formation energy, the calculation gives -0.231 eV per atom. As for the total energy: -4.144 eV/atom. Its crystal system is cubic.

---

# 3
Below is a relaxed structure of CsB2S4, with properties calculated at the PBE level.

a = 9.5794 Å, b = 9.5799 Å, c = 10.2922 Å
α = 94.07°, β = 94.07°, γ = 147.91°
Element x y z (fractional)
Cs1 0.2625 0.7376 0.5000
Cs2 0.0146 0.9855 0.0000
B1 0.6372 0.3914 0.7242
B2 0.5828 0.8378 0.2228
B3 0.6086 0.3628 0.2757
B4 0.1622 0.4172 0.7772
S1 0.8969 0.1108 0.3198
S2 0.2655 0.5613 0.1226
S3 0.8139 0.6105 0.6253
S4 0.8893 0.1030 0.6802
S5 0.3895 0.1862 0.3747
S6 0.4612 0.1728 0.8207
S7 0.4386 0.7344 0.8774
S8 0.8273 0.5389 0.1794

Output
Its space group is C2, No. 5. As for the total energy: -4.783 eV/atom. For the energy relative to the elements, uncorrected, the calculation gives -0.3951 eV/atom. Its crystal system is monoclinic.

---

# 4
Below is a relaxed structure of TlI4, with properties calculated at the PBE level.

a = 5.2641 Å, b = 10.3047 Å, c = 12.4825 Å
α = 113.80°, β = 78.02°, γ = 116.67°
Element x y z (fractional)
Tl1 0.8070 0.1613 0.7897
Tl2 0.1513 0.4861 0.3159
I1 0.5959 0.5326 0.5049
I2 0.8838 0.1240 0.3166
I3 0.3393 0.5550 0.9384
I4 0.4170 0.1852 0.6062
I5 0.1286 0.9789 0.1003
I6 0.3101 0.3105 0.0070
I7 0.3547 0.8081 0.8685
I8 0.0121 0.8584 0.5525

Output
Its space group is P1, No. 1. As for the total energy: -1.962 eV/atom. For the energy relative to the elements, uncorrected, the calculation gives -0.2487 eV/atom. Its crystal system is triclinic.